[1]
Compound: Ca13Mg2
Source: Alexandria via LeMat-Bulk
Functional: PBE
Structure: optimized geometry

Lattice parameters (Å, degrees): 7.132 9.346 9.738 112.36 81.19 99.11
Sites, in units of the cell vectors:
Mg 0.867 0.786 0.536
Mg 0.133 0.214 0.464
Ca 0.567 0.385 0.593
Ca 0.950 0.413 0.290
Ca 0.290 0.005 0.650
Ca 0.471 0.201 0.150
Ca 0.258 0.408 0.942
Ca 0.529 0.799 0.850
Ca 0.742 0.592 0.058
Ca 0.433 0.615 0.407
Ca 0.202 0.823 0.229
Ca 0.050 0.587 0.710
Ca 0.710 0.995 0.350
Ca 0.000 0.000 0.000
Ca 0.798 0.177 0.771

Calculated values
Uncorrected energy: -1.94 eV/atom
Formation energy from the elements: 0.0032 eV per atom
Space group: No. 2
Crystal system: triclinic

---

[2]
Compound: CaMg5
Source: Alexandria via LeMat-Bulk
Functional: PBE
Structure: optimized geometry

Lattice parameters (Å, degrees): 3.352 3.352 15.975 90.00 90.00 120.00
Sites, in units of the cell vectors:
Mg 0.667 0.333 0.500
Mg 0.667 0.333 0.820
Mg 0.000 0.000 0.659
Mg 0.000 0.000 0.341
Mg 0.667 0.333 0.180
Ca 0.000 0.000 0.000

Calculated values
Uncorrected energy: -1.60 eV/atom
Formation energy from the elements: 0.0620 eV per atom
Space group: No. 187
Crystal system: hexagonal

---

Total moment: 0.00; 0.00 (μB per formula unit)